1.
# Pu3Re5N12, optimized geometry, DFT PBE-GGA
data_Pu3Re5N12
_chemical_formula_sum 'Pu24 Re40 N96'
_cell_length_a 12.778
_cell_length_b 12.778
_cell_length_c 12.778
_cell_angle_alpha 90.00
_cell_angle_beta 90.00
_cell_angle_gamma 90.00
_space_group_name_H-M_alt 'I a -3 d'
_space_group_IT_number 230
_space_group_name_Hall '-I 4bd 2c 3'
loop_
_atom_site_label
_atom_site_type_symbol
_atom_site_fract_x
_atom_site_fract_y
_atom_site_fract_z
Pu1 Pu 0.000 0.250 0.125
Re1 Re 0.000 0.000 0.000
Re2 Re 0.000 0.250 0.375
N1 N 0.032 0.048 0.649
# - D(E_F): 1.244 states/eV per atom
# - ΔE_f (raw): -816.8 kJ/mol of formula units

2.
# BeNb2Ni4, optimized geometry, DFT PBE-GGA
data_BeNb2Ni4
_chemical_formula_sum 'Be2 Nb4 Ni8'
_cell_length_a 3.787
_cell_length_b 3.787
_cell_length_c 13.082
_cell_angle_alpha 90.00
_cell_angle_beta 90.00
_cell_angle_gamma 90.00
_space_group_name_H-M_alt 'I 4/m m m'
_space_group_IT_number 139
_space_group_name_Hall '-I 4 2'
loop_
_atom_site_label
_atom_site_type_symbol
_atom_site_fract_x
_atom_site_fract_y
_atom_site_fract_z
Be1 Be 0.000 0.000 0.000
Nb1 Nb 0.000 0.000 0.337
Ni1 Ni 0.000 0.000 0.152
Ni2 Ni 0.000 0.500 0.000
# - Energy relative to the elements: 245 meV per atom
# - D(E_F): 1.566 states/eV per atom

3.
# TbTmZn, optimized geometry, DFT PBE-GGA
data_TbTmZn
_chemical_formula_sum 'Tb4 Tm4 Zn4'
_cell_length_a 7.011
_cell_length_b 7.011
_cell_length_c 7.011
_cell_angle_alpha 90.00
_cell_angle_beta 90.00
_cell_angle_gamma 90.00
_space_group_name_H-M_alt 'P 21 3'
_space_group_IT_number 198
_space_group_name_Hall 'P 2ac 2ab 3'
loop_
_atom_site_label
_atom_site_type_symbol
_atom_site_fract_x
_atom_site_fract_y
_atom_site_fract_z
Tb1 Tb 0.152 0.152 0.152
Tm1 Tm 0.156 0.344 0.656
Zn1 Zn 0.008 0.508 0.992
# - Energy relative to the elements: 38 meV per atom
# - D(E_F): 1.755 states/eV per atom
# - Offset from the most stable computed form: 0.2503 eV/atom

4.
# RbLi2Pt2, optimized geometry, DFT PBE-GGA
data_RbLi2Pt2
_chemical_formula_sum 'Rb2 Li4 Pt4'
_cell_length_a 4.637
_cell_length_b 4.637
_cell_length_c 10.012
_cell_angle_alpha 90.00
_cell_angle_beta 90.00
_cell_angle_gamma 90.00
_space_group_name_H-M_alt 'I 4/m m m'
_space_group_IT_number 139
_space_group_name_Hall '-I 4 2'
loop_
_atom_site_label
_atom_site_type_symbol
_atom_site_fract_x
_atom_site_fract_y
_atom_site_fract_z
Rb1 Rb 0.000 0.000 0.000
Li1 Li 0.000 0.500 0.250
Pt1 Pt 0.000 0.000 0.371
# - Energy relative to the elements: -110 meV per atom
# - D(E_F): 0.699 states/eV per atom
# - Offset from the most stable computed form: 0.1069 eV/atom

5.
# Cu3RuI, optimized geometry, DFT PBE-GGA
data_Cu3RuI
_chemical_formula_sum 'Cu3 Ru1 I1'
_cell_length_a 4.762
_cell_length_b 4.762
_cell_length_c 4.762
_cell_angle_alpha 90.00
_cell_angle_beta 90.00
_cell_angle_gamma 90.00
_space_group_name_H-M_alt 'P m -3 m'
_space_group_IT_number 221
_space_group_name_Hall '-P 4 2 3'
loop_
_atom_site_label
_atom_site_type_symbol
_atom_site_fract_x
_atom_site_fract_y
_atom_site_fract_z
Cu1 Cu 0.000 0.000 0.500
Ru1 Ru 0.000 0.000 0.000
I1 I 0.500 0.500 0.500
# - D(E_F): 0.479 states/eV per atom
# - Offset from the most stable computed form: 0.0000 eV/atom
# - ΔE_f (raw): 562.2 kJ/mol of formula units

6.
# LiY2HfV, optimized geometry, DFT PBE-GGA
data_LiY2HfV
_chemical_formula_sum 'Li1 Y2 Hf1 V1'
_cell_length_a 5.437
_cell_length_b 5.437
_cell_length_c 4.800
_cell_angle_alpha 90.00
_cell_angle_beta 90.00
_cell_angle_gamma 90.00
_space_group_name_H-M_alt 'P 4/m m m'
_space_group_IT_number 123
_space_group_name_Hall '-P 4 2'
loop_
_atom_site_label
_atom_site_type_symbol
_atom_site_fract_x
_atom_site_fract_y
_atom_site_fract_z
Li1 Li 0.000 0.000 0.000
Y1 Y 0.000 0.500 0.500
Hf1 Hf 0.000 0.000 0.500
V1 V 0.500 0.500 0.000
# - Energy relative to the elements: 1512 meV per atom
# - D(E_F): 2.088 states/eV per atom

7.
# Pr4Te2I3, optimized geometry, DFT PBE-GGA
data_Pr4Te2I3
_chemical_formula_sum 'Pr8 Te4 I6'
_cell_length_a 7.912
_cell_length_b 4.568
_cell_length_c 18.818
_cell_angle_alpha 90.00
_cell_angle_beta 90.05
_cell_angle_gamma 90.00
_space_group_name_H-M_alt 'C 1 2/m 1'
_space_group_IT_number 12
loop_
_space_group_symop_operation_xyz
'x,y,z'
'-x,-y,-z'
'-x,y,-z'
'x,-y,z'
'x+1/2,y+1/2,z'
'-x+1/2,-y+1/2,-z'
'-x+1/2,y+1/2,-z'
'x+1/2,-y+1/2,z'
loop_
_atom_site_label
_atom_site_type_symbol
_atom_site_fract_x
_atom_site_fract_y
_atom_site_fract_z
Pr1 Pr 0.001 0.000 0.290
Pr2 Pr 0.166 0.500 0.885
Te1 Te 0.167 0.500 0.201
I1 I 0.000 0.000 0.000
I2 I 0.166 0.500 0.605
# - D(E_F): 0.625 states/eV per atom
# - ΔE_f (raw): -1105.0 kJ/mol of formula units

8.
# Ti2SnRh6, optimized geometry, DFT PBE-GGA
data_Ti2SnRh6
_chemical_formula_sum 'Ti4 Sn2 Rh12'
_cell_length_a 13.030
_cell_length_b 6.038
_cell_length_c 4.185
_cell_angle_alpha 90.00
_cell_angle_beta 108.66
_cell_angle_gamma 90.00
_space_group_name_H-M_alt 'C 1 2/m 1'
_space_group_IT_number 12
loop_
_space_group_symop_operation_xyz
'x,y,z'
'-x,-y,-z'
'-x,y,-z'
'x,-y,z'
'x+1/2,y+1/2,z'
'-x+1/2,-y+1/2,-z'
'-x+1/2,y+1/2,-z'
'x+1/2,-y+1/2,z'
loop_
_atom_site_label
_atom_site_type_symbol
_atom_site_fract_x
_atom_site_fract_y
_atom_site_fract_z
Ti1 Ti 0.169 0.000 0.170
Sn1 Sn 0.000 0.500 0.500
Rh1 Rh 0.000 0.235 0.000
Rh2 Rh 0.170 0.239 0.670
# - Energy relative to the elements: -271 meV per atom
# - D(E_F): 0.672 states/eV per atom

9.
# CaAl9Ni2, optimized geometry, DFT PBE-GGA
data_CaAl9Ni2
_chemical_formula_sum 'Ca4 Al36 Ni8'
_cell_length_a 10.719
_cell_length_b 10.719
_cell_length_c 6.826
_cell_angle_alpha 90.00
_cell_angle_beta 90.00
_cell_angle_gamma 90.00
_space_group_name_H-M_alt 'I 41/a m d'
_space_group_IT_number 141
loop_
_space_group_symop_operation_xyz
'x,y,z'
'-x,-y,-z'
'-y+1/4,x+3/4,z+1/4'
'y+1/4,-x+3/4,-z+1/4'
'-x+1/2,-y,z+1/2'
'x+1/2,y,-z+1/2'
'y+1/4,-x+1/4,z+3/4'
'-y+1/4,x+1/4,-z+3/4'
'x,-y,-z'
'-x,y,z'
'-y+1/4,-x+1/4,-z+3/4'
'y+1/4,x+1/4,z+3/4'
'-x+1/2,y,-z+1/2'
'x+1/2,-y,z+1/2'
'y+1/4,x+3/4,-z+1/4'
'-y+1/4,-x+3/4,z+1/4'
'x+1/2,y+1/2,z+1/2'
'-x+1/2,-y+1/2,-z+1/2'
'-y+3/4,x+1/4,z+3/4'
'y+3/4,-x+1/4,-z+3/4'
'-x,-y+1/2,z'
'x,y+1/2,-z'
'y+3/4,-x+3/4,z+1/4'
'-y+3/4,x+3/4,-z+1/4'
'x+1/2,-y+1/2,-z+1/2'
'-x+1/2,y+1/2,z+1/2'
'-y+3/4,-x+3/4,-z+1/4'
'y+3/4,x+3/4,z+1/4'
'-x,y+1/2,-z'
'x,-y+1/2,z'
'y+3/4,x+1/4,-z+3/4'
'-y+3/4,-x+1/4,z+3/4'
loop_
_atom_site_label
_atom_site_type_symbol
_atom_site_fract_x
_atom_site_fract_y
_atom_site_fract_z
Ca1 Ca 0.000 0.250 0.375
Al1 Al 0.000 0.250 0.875
Al2 Al 0.122 0.054 0.686
Ni1 Ni 0.000 0.000 0.000
# - Energy relative to the elements: -316 meV per atom
# - D(E_F): 0.292 states/eV per atom

10.
# Zr5Be, optimized geometry, DFT PBE-GGA
data_Zr5Be
_chemical_formula_sum 'Zr5 Be1'
_cell_length_a 5.7897
_cell_length_b 5.7897
_cell_length_c 4.9939
_cell_angle_alpha 90.00
_cell_angle_beta 90.00
_cell_angle_gamma 120.00
_space_group_name_H-M_alt 'P 6/m m m'
_space_group_IT_number 191
_space_group_name_Hall '-P 6 2'
loop_
_atom_site_label
_atom_site_type_symbol
_atom_site_fract_x
_atom_site_fract_y
_atom_site_fract_z
Zr1 Zr 0.0000 0.5000 0.0000
Zr2 Zr 0.3333 0.6667 0.5000
Be1 Be 0.0000 0.0000 0.5000
# - Energy relative to the elements: 839 meV per atom
# - D(E_F): 1.227 states/eV per atom
# - Offset from the most stable computed form: 0.8271 eV/atom

11.
# Li3O2, optimized geometry, DFT PBE-GGA
data_Li3O2
_chemical_formula_sum 'Li18 O12'
_cell_length_a 5.3563
_cell_length_b 5.3563
_cell_length_c 10.4573
_cell_angle_alpha 90.00
_cell_angle_beta 90.00
_cell_angle_gamma 120.00
_space_group_name_H-M_alt 'R -3 c'
_space_group_IT_number 167
_space_group_name_Hall '-R 3 2"c'
loop_
_atom_site_label
_atom_site_type_symbol
_atom_site_fract_x
_atom_site_fract_y
_atom_site_fract_z
Li1 Li 0.0000 0.2988 0.2500
O1 O 0.0000 0.0000 0.1340
# - D(E_F): 0.193 states/eV per atom
# - Offset from the most stable computed form: 0.0000 eV/atom
# - ΔE_f (raw): -734.7 kJ/mol of formula units

Which calculated volume belongs to each record? In order, 2086; 188; 345; 215; 108; 142; 680; 312; 784; 145; 260 Å³/cell.